# 1
! Ag2BCl, relaxed, DFT PBE; values from VASP
&SYSTEM
  ibrav = 0, nat = 4, ntyp = 3
/
ATOMIC_SPECIES
Ag 107.87 Ag.upf
B 10.81 B.upf
Cl 35.45 Cl.upf
CELL_PARAMETERS angstrom
0.000 3.246 3.246
3.246 0.000 3.246
3.246 3.246 0.000
ATOMIC_POSITIONS crystal
Ag 0.250 0.250 0.250
Ag 0.750 0.750 0.750
B 0.000 0.000 0.000
Cl 0.500 0.500 0.500
! - Total DFT energy (no corrections): -2.559 eV/atom
! - V: 17.1 Å³/atom
! - Formation energy from raw total energies: 3.99 eV per formula unit
! - Excess energy over the best structure of this formula in the dataset: 1.92 eV per formula unit
! - Crystal system: cubic
! - M_tot: 0.0 μB/cell

***

# 2
! BaOs2PbO8, relaxed, DFT PBE; values from VASP
&SYSTEM
  ibrav = 0, nat = 12, ntyp = 4
/
ATOMIC_SPECIES
Ba 137.33 Ba.upf
Os 190.23 Os.upf
Pb 207.20 Pb.upf
O 16.00 O.upf
CELL_PARAMETERS angstrom
6.047 0.000 0.000
-3.023 5.236 0.000
0.000 0.000 8.060
ATOMIC_POSITIONS crystal
Ba 0.000 0.000 0.000
Os 0.333 0.667 0.788
Os 0.667 0.333 0.212
Pb 0.000 0.000 0.500
O 0.165 0.333 0.725
O 0.168 0.835 0.725
O 0.333 0.168 0.275
O 0.333 0.667 0.011
O 0.667 0.333 0.989
O 0.667 0.832 0.725
O 0.832 0.165 0.275
O 0.835 0.667 0.275
! - Total DFT energy (no corrections): -6.901 eV/atom
! - V: 21.3 Å³/atom
! - Formation energy from raw total energies: -15.05 eV per formula unit
! - Crystal system: trigonal
! - M_tot: 4.0 μB/cell

***

# 3
! ScTc2H, relaxed, DFT PBE; values from VASP
&SYSTEM
  ibrav = 0, nat = 4, ntyp = 3
/
ATOMIC_SPECIES
Sc 44.96 Sc.upf
Tc 98.00 Tc.upf
H 1.01 H.upf
CELL_PARAMETERS angstrom
0.000 3.024 3.024
3.024 0.000 3.024
3.024 3.024 0.000
ATOMIC_POSITIONS crystal
Sc 0.000 0.000 0.000
Tc 0.250 0.250 0.250
Tc 0.750 0.750 0.750
H 0.500 0.500 0.500
! - Total DFT energy (no corrections): -6.611 eV/atom
! - V: 13.8 Å³/atom
! - Excess energy over the best structure of this formula in the dataset: 3.59 eV per formula unit
! - Crystal system: cubic
! - M_tot: 0.0 μB/cell

***

# 4
! SmDy4Sb5, relaxed, DFT PBE; values from VASP
&SYSTEM
  ibrav = 0, nat = 10, ntyp = 3
/
ATOMIC_SPECIES
Sm 150.36 Sm.upf
Dy 162.50 Dy.upf
Sb 121.76 Sb.upf
CELL_PARAMETERS angstrom
-2.202 3.111 11.001
2.202 -3.111 11.001
2.202 3.111 -11.001
ATOMIC_POSITIONS crystal
Sm 0.000 0.000 0.000
Dy 0.201 0.201 0.000
Dy 0.400 0.400 0.000
Dy 0.600 0.600 0.000
Dy 0.799 0.799 0.000
Sb 0.102 0.602 0.500
Sb 0.300 0.800 0.500
Sb 0.500 0.000 0.500
Sb 0.700 0.200 0.500
Sb 0.898 0.398 0.500
! - Total DFT energy (no corrections): -5.514 eV/atom
! - V: 30.1 Å³/atom
! - Formation energy from raw total energies: -11.40 eV per formula unit
! - Crystal system: orthorhombic
! - M_tot: 0.0 μB/cell

***

# 5
! ScMnNb, relaxed, DFT PBE; values from VASP
&SYSTEM
  ibrav = 0, nat = 6, ntyp = 3
/
ATOMIC_SPECIES
Sc 44.96 Sc.upf
Mn 54.94 Mn.upf
Nb 92.91 Nb.upf
CELL_PARAMETERS angstrom
0.000 4.126 4.640
2.751 0.000 4.640
2.751 4.126 0.000
ATOMIC_POSITIONS crystal
Sc 0.177 0.823 0.177
Sc 0.823 0.177 0.823
Mn 0.250 0.250 0.250
Mn 0.750 0.750 0.750
Nb 0.325 0.325 0.675
Nb 0.675 0.675 0.325
! - Total DFT energy (no corrections): -8.492 eV/atom
! - V: 17.6 Å³/atom
! - Formation energy from the elements: 31 meV per atom
! - Excess energy over the best structure of this formula in the dataset: 0.02 eV per formula unit
! - Crystal system: orthorhombic
! - M_tot: 1.1 μB/cell

***

# 6
! Sb2MoPd, relaxed, DFT PBE; values from VASP
&SYSTEM
  ibrav = 0, nat = 8, ntyp = 3
/
ATOMIC_SPECIES
Sb 121.76 Sb.upf
Mo 95.94 Mo.upf
Pd 106.42 Pd.upf
CELL_PARAMETERS angstrom
-3.009 3.009 6.167
3.009 -3.009 6.167
3.009 3.009 -6.167
ATOMIC_POSITIONS crystal
Sb 0.124 0.625 0.999
Sb 0.375 0.374 0.499
Sb 0.626 0.125 0.001
Sb 0.875 0.876 0.501
Mo 0.000 0.000 0.000
Mo 0.750 0.250 0.500
Pd 0.250 0.750 0.500
Pd 0.500 0.500 0.000
! - Total DFT energy (no corrections): -5.589 eV/atom
! - V: 27.9 Å³/atom
! - Formation energy from raw total energies: 1.91 eV per formula unit
! - Crystal system: tetragonal
! - M_tot: 0.0 μB/cell

***

# 7
! GdDyPt, relaxed, DFT PBE; values from VASP
&SYSTEM
  ibrav = 0, nat = 3, ntyp = 3
/
ATOMIC_SPECIES
Gd 157.25 Gd.upf
Dy 162.50 Dy.upf
Pt 195.08 Pt.upf
CELL_PARAMETERS angstrom
4.652 0.000 0.000
-2.326 4.028 0.000
0.000 0.000 4.138
ATOMIC_POSITIONS crystal
Gd 0.000 0.000 0.000
Dy 0.333 0.667 0.473
Pt 0.667 0.333 0.715
! - Total DFT energy (no corrections): -8.908 eV/atom
! - V: 25.8 Å³/atom
! - Formation energy from the elements: -667 meV per atom
! - Excess energy over the best structure of this formula in the dataset: 0.52 eV per formula unit
! - Crystal system: trigonal
! - M_tot: 7.3 μB/cell

***

# 8
! KPuS2, relaxed, DFT PBE; values from VASP
&SYSTEM
  ibrav = 0, nat = 4, ntyp = 3
/
ATOMIC_SPECIES
K 39.10 K.upf
Pu 244.00 Pu.upf
S 32.06 S.upf
CELL_PARAMETERS angstrom
3.507 0.000 0.000
0.000 3.507 0.000
0.000 0.000 7.597
ATOMIC_POSITIONS crystal
K 0.000 0.000 0.000
Pu 0.000 0.000 0.500
S 0.500 0.500 0.293
S 0.500 0.500 0.707
! - Total DFT energy (no corrections): -7.313 eV/atom
! - V: 23.4 Å³/atom
! - Formation energy from raw total energies: -5.57 eV per formula unit
! - Crystal system: tetragonal
! - M_tot: 5.0 μB/cell

***

# 9
! Tb2Cd3Au2, relaxed, DFT PBE; values from VASP
&SYSTEM
  ibrav = 0, nat = 7, ntyp = 3
/
ATOMIC_SPECIES
Tb 158.93 Tb.upf
Cd 112.41 Cd.upf
Au 196.97 Au.upf
CELL_PARAMETERS angstrom
5.235 -2.099 0.000
5.235 2.099 0.000
-0.578 0.000 7.512
ATOMIC_POSITIONS crystal
Tb 0.120 0.120 0.341
Tb 0.880 0.880 0.659
Cd 0.191 0.191 0.876
Cd 0.500 0.500 0.000
Cd 0.809 0.809 0.124
Au 0.401 0.401 0.364
Au 0.599 0.599 0.636
! - Total DFT energy (no corrections): -3.155 eV/atom
! - V: 23.6 Å³/atom
! - Formation energy from the elements: -503 meV per atom
! - Excess energy over the best structure of this formula in the dataset: 0.27 eV per formula unit
! - Crystal system: monoclinic
! - M_tot: 0.0 μB/cell

***

# 10
! Pm5Te5H, relaxed, DFT PBE; values from VASP
&SYSTEM
  ibrav = 0, nat = 11, ntyp = 3
/
ATOMIC_SPECIES
Pm 145.00 Pm.upf
Te 127.60 Te.upf
H 1.01 H.upf
CELL_PARAMETERS angstrom
6.876 -3.110 0.000
6.876 3.110 0.000
-2.929 0.000 8.087
ATOMIC_POSITIONS crystal
Pm 0.000 0.000 0.000
Pm 0.326 0.326 0.163
Pm 0.347 0.347 0.693
Pm 0.653 0.653 0.307
Pm 0.674 0.674 0.837
Te 0.156 0.156 0.810
Te 0.165 0.165 0.348
Te 0.500 0.500 0.500
Te 0.835 0.835 0.652
Te 0.844 0.844 0.190
H 0.500 0.500 0.000
! - Total DFT energy (no corrections): -5.023 eV/atom
! - V: 31.4 Å³/atom
! - Crystal system: monoclinic
! - M_tot: 0.0 μB/cell

***

# 11
! YHf2Mo, relaxed, DFT PBE; values from VASP
&SYSTEM
  ibrav = 0, nat = 4, ntyp = 3
/
ATOMIC_SPECIES
Y 88.91 Y.upf
Hf 178.49 Hf.upf
Mo 95.94 Mo.upf
CELL_PARAMETERS angstrom
1.616 0.933 10.417
-1.616 0.933 10.417
0.000 -1.866 10.417
ATOMIC_POSITIONS crystal
Y 0.000 0.000 0.000
Hf 0.101 0.101 0.101
Hf 0.899 0.899 0.899
Mo 0.500 0.500 0.500
! - Total DFT energy (no corrections): -8.951 eV/atom
! - V: 23.6 Å³/atom
! - Formation energy from the elements: 350 meV per atom
! - Excess energy over the best structure of this formula in the dataset: 1.20 eV per formula unit
! - Crystal system: trigonal
! - M_tot: 0.0 μB/cell

***

# 12
! Pr6SmYEr2, relaxed, DFT PBE; values from VASP
&SYSTEM
  ibrav = 0, nat = 20, ntyp = 4
/
ATOMIC_SPECIES
Pr 140.91 Pr.upf
Sm 150.36 Sm.upf
Y 88.91 Y.upf
Er 167.26 Er.upf
CELL_PARAMETERS angstrom
4.672 -7.702 0.000
4.672 7.702 0.000
-1.304 0.000 9.672
ATOMIC_POSITIONS crystal
Pr 0.010 0.562 0.186
Pr 0.113 0.761 0.555
Pr 0.239 0.887 0.945
Pr 0.295 0.511 0.381
Pr 0.438 0.990 0.314
Pr 0.489 0.705 0.119
Pr 0.511 0.295 0.881
Pr 0.562 0.010 0.686
Pr 0.705 0.489 0.619
Pr 0.761 0.113 0.055
Pr 0.887 0.239 0.445
Pr 0.990 0.438 0.814
Sm 0.029 0.971 0.250
Sm 0.971 0.029 0.750
Y 0.410 0.590 0.750
Y 0.590 0.410 0.250
Er 0.201 0.296 0.047
Er 0.296 0.201 0.547
Er 0.704 0.799 0.453
Er 0.799 0.704 0.953
! - Total DFT energy (no corrections): -4.787 eV/atom
! - V: 34.8 Å³/atom
! - Formation energy from the elements: 111 meV per atom
! - Crystal system: monoclinic
! - M_tot: 0.0 μB/cell